The following is a DFT calculation (SCAN) of a crystal of CaCd2Sn2 relaxed with PBEsol.

Values from the calculation:
Calculated volume ... 26.23 Å³/atom
DOS(E_F) ... 3.9 states/eV per cell
DFT formation energy ... -286 meV/atom
Theoretical density ... 6.360 g cm⁻³

Cell lengths 4.4343, 4.4343, 13.3390 Å; angles 90.00, 90.00, 90.00 degrees
Positions (direct):
Ca  0.0000  0.0000  0.0000
Ca  0.5000  0.5000  0.5000
Cd  0.0000  0.5000  0.2500
Cd  0.0000  0.5000  0.7500
Cd  0.5000  0.0000  0.2500
Cd  0.5000  0.0000  0.7500
Sn  0.0000  0.0000  0.3926
Sn  0.0000  0.0000  0.6074
Sn  0.5000  0.5000  0.1074
Sn  0.5000  0.5000  0.8926



The following is a DFT calculation (SCAN) of a crystal of K2FeMoPd relaxed with PBEsol.

Values from the calculation:
Calculated volume ... 30.08 Å³/atom
DOS(E_F) ... 3.4 states/eV per cell
DFT formation energy ... 1463 meV/atom
Theoretical density ... 3.714 g cm⁻³

Cell lengths 5.9719, 5.9719, 4.2178 Å; angles 90.00, 90.00, 90.00 degrees
Positions (direct):
K  0.0000  0.5000  0.0000
K  0.5000  0.0000  0.0000
Fe  0.0000  0.0000  0.0000
Mo  0.0000  0.0000  0.5000
Pd  0.5000  0.5000  0.5000



The following is a DFT calculation (SCAN) of a crystal of Cs2HgPdCl6 relaxed with PBEsol.

Values from the calculation:
Calculated volume ... 28.50 Å³/atom
E_form (uncorrected) ... -1291 kJ/mol of formula units
Theoretical density ... 4.577 g cm⁻³

Cell lengths 7.3945, 7.3945, 7.3945 Å; angles 120.21, 120.21, 89.64 degrees
Positions (direct):
Cs  0.2500  0.7500  0.5000
Cs  0.7500  0.2500  0.5000
Hg  0.0000  0.0000  0.0000
Pd  0.5000  0.5000  0.0000
Cl  0.2252  0.2252  0.0000
Cl  0.2789  0.2789  0.5578
Cl  0.2789  0.7211  0.0000
Cl  0.7211  0.2789  0.0000
Cl  0.7211  0.7211  0.4422
Cl  0.7748  0.7748  0.0000